(1)
Compound: AgSe2SN
Source: Alexandria
Functional: PBE
Structure: optimized geometry

Calculated values
DOS(E_F) = 5.40 states/eV/cell
total moment = 0.38 μB per atom
calculated density = 4.858 Mg/m³
energy above the lowest structure with this stoichiometry = 606 meV per atom
formation energy (no corrections) = 34.255 kcal/mol of atoms
space group = P4/mmm

Geometry as CIF:
```
data_AgSe2SN
_chemical_formula_sum 'Ag1 Se2 S1 N1'
_space_group_name_H-M_alt 'P 1'
_space_group_IT_number 1
_cell_length_a 5.173
_cell_length_b 5.173
_cell_length_c 3.982
_cell_angle_alpha 90.00
_cell_angle_beta 90.00
_cell_angle_gamma 90.00
loop_
_space_group_symop_operation_xyz
'x,y,z'
loop_
_atom_site_label
_atom_site_type_symbol
_atom_site_fract_x
_atom_site_fract_y
_atom_site_fract_z
Ag1 Ag 0.000 0.000 0.000
Se1 Se 0.000 0.500 0.000
Se2 Se 0.500 0.000 0.000
S1 S 0.500 0.500 0.500
N1 N 0.000 0.000 0.500
```


(2)
Compound: AgSeS2N
Source: Alexandria
Functional: PBE
Structure: optimized geometry

Calculated values
DOS(E_F) = 4.57 states/eV/cell
total moment = 0.25 μB per atom
calculated density = 4.836 Mg/m³
energy above the lowest structure with this stoichiometry = 0 meV per atom
formation energy (no corrections) = 25.872 kcal/mol of atoms
space group = P4/mmm

Geometry as CIF:
```
data_AgSeS2N
_chemical_formula_sum 'Ag1 Se1 S2 N1'
_space_group_name_H-M_alt 'P 1'
_space_group_IT_number 1
_cell_length_a 4.962
_cell_length_b 4.962
_cell_length_c 3.695
_cell_angle_alpha 90.00
_cell_angle_beta 90.00
_cell_angle_gamma 90.00
loop_
_space_group_symop_operation_xyz
'x,y,z'
loop_
_atom_site_label
_atom_site_type_symbol
_atom_site_fract_x
_atom_site_fract_y
_atom_site_fract_z
Ag1 Ag 0.000 0.000 0.000
Se1 Se 0.500 0.500 0.500
S1 S 0.000 0.500 0.500
S2 S 0.500 0.000 0.500
N1 N 0.500 0.500 0.000
```


(3)
Compound: AgSeSN2
Source: Alexandria
Functional: PBE
Structure: optimized geometry

Calculated values
DOS(E_F) = 2.09 states/eV/cell
total moment = 0.76 μB per atom
calculated density = 3.932 Mg/m³
energy above the lowest structure with this stoichiometry = 508 meV per atom
formation energy (no corrections) = 44.326 kcal/mol of atoms
space group = P4/mmm

Geometry as CIF:
```
data_AgSeSN2
_chemical_formula_sum 'Ag1 Se1 S1 N2'
_space_group_name_H-M_alt 'P 1'
_space_group_IT_number 1
_cell_length_a 3.936
_cell_length_b 3.936
_cell_length_c 6.730
_cell_angle_alpha 90.00
_cell_angle_beta 90.00
_cell_angle_gamma 90.00
loop_
_space_group_symop_operation_xyz
'x,y,z'
loop_
_atom_site_label
_atom_site_type_symbol
_atom_site_fract_x
_atom_site_fract_y
_atom_site_fract_z
Ag1 Ag 0.000 0.000 0.000
Se1 Se 0.000 0.000 0.500
S1 S 0.500 0.500 0.500
N1 N 0.000 0.500 0.000
N2 N 0.500 0.000 0.000
```


(4)
Compound: AgSeSN2
Source: Alexandria
Functional: PBE
Structure: optimized geometry

Calculated values
DOS(E_F) = 2.98 states/eV/cell
total moment = 0.15 μB per atom
calculated density = 4.726 Mg/m³
energy above the lowest structure with this stoichiometry = 0 meV per atom
formation energy (no corrections) = 32.606 kcal/mol of atoms
space group = P4/mmm

Geometry as CIF:
```
data_AgSeSN2
_chemical_formula_sum 'Ag1 Se1 S1 N2'
_space_group_name_H-M_alt 'P 1'
_space_group_IT_number 1
_cell_length_a 3.548
_cell_length_b 3.548
_cell_length_c 6.891
_cell_angle_alpha 90.00
_cell_angle_beta 90.00
_cell_angle_gamma 90.00
loop_
_space_group_symop_operation_xyz
'x,y,z'
loop_
_atom_site_label
_atom_site_type_symbol
_atom_site_fract_x
_atom_site_fract_y
_atom_site_fract_z
Ag1 Ag 0.000 0.000 0.000
Se1 Se 0.500 0.500 0.000
S1 S 0.500 0.500 0.500
N1 N 0.000 0.500 0.500
N2 N 0.500 0.000 0.500
```


(5)
Compound: AgSeSN2
Source: Alexandria
Functional: PBE
Structure: optimized geometry

Calculated values
DOS(E_F) = 2.45 states/eV/cell
total moment = 0.79 μB per atom
calculated density = 4.147 Mg/m³
energy above the lowest structure with this stoichiometry = 510 meV per atom
formation energy (no corrections) = 44.364 kcal/mol of atoms
space group = P4/mmm

Geometry as CIF:
```
data_AgSeSN2
_chemical_formula_sum 'Ag1 Se1 S1 N2'
_space_group_name_H-M_alt 'P 1'
_space_group_IT_number 1
_cell_length_a 3.969
_cell_length_b 3.969
_cell_length_c 6.277
_cell_angle_alpha 90.00
_cell_angle_beta 90.00
_cell_angle_gamma 90.00
loop_
_space_group_symop_operation_xyz
'x,y,z'
loop_
_atom_site_label
_atom_site_type_symbol
_atom_site_fract_x
_atom_site_fract_y
_atom_site_fract_z
Ag1 Ag 0.000 0.000 0.000
Se1 Se 0.500 0.500 0.500
S1 S 0.000 0.000 0.500
N1 N 0.000 0.500 0.000
N2 N 0.500 0.000 0.000
```


(6)
Compound: AgSeS2N
Source: Alexandria
Functional: PBE
Structure: optimized geometry

Calculated values
DOS(E_F) = 3.29 states/eV/cell
total moment = 0.36 μB per atom
calculated density = 4.485 Mg/m³
energy above the lowest structure with this stoichiometry = 334 meV per atom
formation energy (no corrections) = 33.568 kcal/mol of atoms
space group = P4/mmm

Geometry as CIF:
```
data_AgSeS2N
_chemical_formula_sum 'Ag1 Se1 S2 N1'
_space_group_name_H-M_alt 'P 1'
_space_group_IT_number 1
_cell_length_a 4.963
_cell_length_b 4.963
_cell_length_c 3.982
_cell_angle_alpha 90.00
_cell_angle_beta 90.00
_cell_angle_gamma 90.00
loop_
_space_group_symop_operation_xyz
'x,y,z'
loop_
_atom_site_label
_atom_site_type_symbol
_atom_site_fract_x
_atom_site_fract_y
_atom_site_fract_z
Ag1 Ag 0.000 0.000 0.000
Se1 Se 0.500 0.500 0.500
S1 S 0.000 0.500 0.000
S2 S 0.500 0.000 0.000
N1 N 0.000 0.000 0.500
```


(7)
Compound: AgSe2SN
Source: Alexandria
Functional: PBE
Structure: optimized geometry

Calculated values
DOS(E_F) = 6.08 states/eV/cell
total moment = 0.00 μB per atom
calculated density = 5.694 Mg/m³
energy above the lowest structure with this stoichiometry = 0 meV per atom
formation energy (no corrections) = 20.283 kcal/mol of atoms
space group = P4/mmm

Geometry as CIF:
```
data_AgSe2SN
_chemical_formula_sum 'Ag1 Se2 S1 N1'
_space_group_name_H-M_alt 'P 1'
_space_group_IT_number 1
_cell_length_a 5.284
_cell_length_b 5.284
_cell_length_c 3.258
_cell_angle_alpha 90.00
_cell_angle_beta 90.00
_cell_angle_gamma 90.00
loop_
_space_group_symop_operation_xyz
'x,y,z'
loop_
_atom_site_label
_atom_site_type_symbol
_atom_site_fract_x
_atom_site_fract_y
_atom_site_fract_z
Ag1 Ag 0.000 0.000 0.000
Se1 Se 0.000 0.500 0.500
Se2 Se 0.500 0.000 0.500
S1 S 0.500 0.500 0.500
N1 N 0.500 0.500 0.000
```


(8)
Compound: SiAgS2N
Source: Alexandria
Functional: PBE
Structure: optimized geometry

Calculated values
DOS(E_F) = 3.46 states/eV/cell
total moment = 0.38 μB per atom
calculated density = 3.654 Mg/m³
energy above the lowest structure with this stoichiometry = 1021 meV per atom
formation energy (no corrections) = 31.896 kcal/mol of atoms
space group = P4/mmm

Geometry as CIF:
```
data_SiAgS2N
_chemical_formula_sum 'Si1 Ag1 S2 N1'
_space_group_name_H-M_alt 'P 1'
_space_group_IT_number 1
_cell_length_a 4.955
_cell_length_b 4.955
_cell_length_c 3.963
_cell_angle_alpha 90.00
_cell_angle_beta 90.00
_cell_angle_gamma 90.00
loop_
_space_group_symop_operation_xyz
'x,y,z'
loop_
_atom_site_label
_atom_site_type_symbol
_atom_site_fract_x
_atom_site_fract_y
_atom_site_fract_z
Si1 Si 0.000 0.000 0.000
Ag1 Ag 0.500 0.500 0.500
S1 S 0.000 0.500 0.500
S2 S 0.500 0.000 0.500
N1 N 0.500 0.500 0.000
```


(9)
Compound: SiAgS2N
Source: Alexandria
Functional: PBE
Structure: optimized geometry

Calculated values
DOS(E_F) = 4.07 states/eV/cell
total moment = 0.00 μB per atom
calculated density = 4.486 Mg/m³
energy above the lowest structure with this stoichiometry = 0 meV per atom
formation energy (no corrections) = 8.353 kcal/mol of atoms
space group = P4/mmm

Geometry as CIF:
```
data_SiAgS2N
_chemical_formula_sum 'Si1 Ag1 S2 N1'
_space_group_name_H-M_alt 'P 1'
_space_group_IT_number 1
_cell_length_a 4.939
_cell_length_b 4.939
_cell_length_c 3.249
_cell_angle_alpha 90.00
_cell_angle_beta 90.00
_cell_angle_gamma 90.00
loop_
_space_group_symop_operation_xyz
'x,y,z'
loop_
_atom_site_label
_atom_site_type_symbol
_atom_site_fract_x
_atom_site_fract_y
_atom_site_fract_z
Si1 Si 0.000 0.000 0.000
Ag1 Ag 0.500 0.500 0.500
S1 S 0.000 0.500 0.000
S2 S 0.500 0.000 0.000
N1 N 0.000 0.000 0.500
```


(10)
Compound: Sr2AgSN
Source: Alexandria
Functional: PBE
Structure: optimized geometry

Calculated values
DOS(E_F) = 0.01 states/eV/cell
total moment = 0.00 μB per atom
calculated density = 4.218 Mg/m³
energy above the lowest structure with this stoichiometry = 0 meV per atom
formation energy (no corrections) = -5.377 kcal/mol of atoms
space group = P4/mmm

Geometry as CIF:
```
data_Sr2AgSN
_chemical_formula_sum 'Sr2 Ag1 S1 N1'
_space_group_name_H-M_alt 'P 1'
_space_group_IT_number 1
_cell_length_a 5.758
_cell_length_b 5.758
_cell_length_c 3.909
_cell_angle_alpha 90.00
_cell_angle_beta 90.00
_cell_angle_gamma 90.00
loop_
_space_group_symop_operation_xyz
'x,y,z'
loop_
_atom_site_label
_atom_site_type_symbol
_atom_site_fract_x
_atom_site_fract_y
_atom_site_fract_z
Sr1 Sr 0.000 0.500 0.000
Sr2 Sr 0.500 0.000 0.000
Ag1 Ag 0.000 0.000 0.000
S1 S 0.500 0.500 0.500
N1 N 0.000 0.000 0.500
```


(11)
Compound: SrAgS2N
Source: Alexandria
Functional: PBE
Structure: optimized geometry

Calculated values
DOS(E_F) = 3.47 states/eV/cell
total moment = 0.35 μB per atom
calculated density = 4.306 Mg/m³
energy above the lowest structure with this stoichiometry = 0 meV per atom
formation energy (no corrections) = 2.578 kcal/mol of atoms
space group = P4/mmm

Geometry as CIF:
```
data_SrAgS2N
_chemical_formula_sum 'Sr1 Ag1 S2 N1'
_space_group_name_H-M_alt 'P 1'
_space_group_IT_number 1
_cell_length_a 5.059
_cell_length_b 5.059
_cell_length_c 4.122
_cell_angle_alpha 90.00
_cell_angle_beta 90.00
_cell_angle_gamma 90.00
loop_
_space_group_symop_operation_xyz
'x,y,z'
loop_
_atom_site_label
_atom_site_type_symbol
_atom_site_fract_x
_atom_site_fract_y
_atom_site_fract_z
Sr1 Sr 0.000 0.000 0.000
Ag1 Ag 0.500 0.500 0.500
S1 S 0.000 0.500 0.500
S2 S 0.500 0.000 0.500
N1 N 0.500 0.500 0.000
```


(12)
Compound: SrAgS2N
Source: Alexandria
Functional: PBE
Structure: optimized geometry

Calculated values
DOS(E_F) = 7.73 states/eV/cell
total moment = 0.25 μB per atom
calculated density = 3.190 Mg/m³
energy above the lowest structure with this stoichiometry = 999 meV per atom
formation energy (no corrections) = 25.606 kcal/mol of atoms
space group = P4/mmm

Geometry as CIF:
```
data_SrAgS2N
_chemical_formula_sum 'Sr1 Ag1 S2 N1'
_space_group_name_H-M_alt 'P 1'
_space_group_IT_number 1
_cell_length_a 5.596
_cell_length_b 5.596
_cell_length_c 4.548
_cell_angle_alpha 90.00
_cell_angle_beta 90.00
_cell_angle_gamma 90.00
loop_
_space_group_symop_operation_xyz
'x,y,z'
loop_
_atom_site_label
_atom_site_type_symbol
_atom_site_fract_x
_atom_site_fract_y
_atom_site_fract_z
Sr1 Sr 0.000 0.000 0.000
Ag1 Ag 0.500 0.500 0.500
S1 S 0.000 0.500 0.000
S2 S 0.500 0.000 0.000
N1 N 0.000 0.000 0.500
```